A) First-principles (PBE) data for a relaxed structure of AcLaZnAu, as listed in Alexandria via LeMat-Bulk.

Its crystal system is cubic. The density of states at the Fermi level is 0.735 states/eV per atom.

It has space group F-43m (No. 216), with a = 7.700 Å, b = 7.700 Å, c = 7.700 Å, α = 90.00°, β = 90.00° and γ = 90.00°. The asymmetric unit holds Ac at (0.000, 0.000, 0.000), La at (0.000, 0.000, 0.500), Zn at (0.250, 0.250, 0.750) and Au at (0.250, 0.250, 0.250).


B) First-principles (PBE) data for a relaxed structure of AcLaZnAu, as listed in Alexandria via LeMat-Bulk.

Its crystal system is tetragonal. The density of states at the Fermi level is 0.816 states/eV per atom.

It has space group P4mm (No. 99), with a = 3.868 Å, b = 3.868 Å, c = 7.590 Å, α = 90.00°, β = 90.00° and γ = 90.00°. The asymmetric unit holds Ac at (0.000, 0.000, 0.000), La at (0.000, 0.000, 0.501), Zn at (0.500, 0.500, 0.265) and Au at (0.500, 0.500, 0.737).


Which is most stable, and by how much? B), by 0.018 eV/atom.


A) First-principles (PBE) data for a relaxed structure of Li3AcAu2, as listed in Alexandria via LeMat-Bulk.

Its crystal system is hexagonal. The density of states at the Fermi level is 0.699 states/eV per atom.

It has space group P6/mmm (No. 191), with a = 10.1837 Å, b = 10.1837 Å, c = 4.2892 Å, α = 90.00°, β = 90.00° and γ = 120.00°. The asymmetric unit holds Li at (0.0000, 0.2924, 0.0000), Li at (0.0000, 0.5000, 0.5000), Ac at (0.0000, 0.0000, 0.5000), Ac at (0.3333, 0.6667, 0.0000) and Au at (0.1908, 0.3816, 0.5000).


B) First-principles (PBE) data for a relaxed structure of Li3AcAu2, as listed in Alexandria via LeMat-Bulk.

Its crystal system is monoclinic. The density of states at the Fermi level is 0.469 states/eV per atom.

It has space group C2/m (No. 12), with a = 16.022 Å, b = 4.304 Å, c = 8.364 Å, α = 90.00°, β = 115.74° and γ = 90.00°. The asymmetric unit holds Li at (0.055, 0.000, 0.396), Li at (0.090, 0.500, 0.661), Li at (0.191, 0.500, 0.471), Ac at (0.142, 0.000, 0.049), Au at (0.026, 0.500, 0.190) and Au at (0.202, 0.000, 0.712).


Which is most stable, and by how much? B), by 0.010 eV/atom.


A) First-principles (PBE) data for a relaxed structure of Li2AcAu, as listed in Alexandria via LeMat-Bulk.

Its crystal system is tetragonal. The density of states at the Fermi level is 0.730 states/eV per atom.

It has space group P4/mmm (No. 123), with a = 3.613 Å, b = 3.613 Å, c = 7.210 Å, α = 90.00°, β = 90.00° and γ = 90.00°. The asymmetric unit holds Li at (0.000, 0.000, 0.167), Ac at (0.500, 0.500, 0.500) and Au at (0.500, 0.500, 0.000).


B) First-principles (PBE) data for a relaxed structure of Li2AcAu, as listed in Alexandria via LeMat-Bulk.

Its crystal system is cubic. The density of states at the Fermi level is 1.483 states/eV per atom.

It has space group Fm-3m (No. 225), with a = 7.084 Å, b = 7.084 Å, c = 7.084 Å, α = 90.00°, β = 90.00° and γ = 90.00°. The asymmetric unit holds Li at (0.250, 0.250, 0.250), Ac at (0.000, 0.000, 0.000) and Au at (0.000, 0.000, 0.500).


C) First-principles (PBE) data for a relaxed structure of Li2AcAu, as listed in Alexandria via LeMat-Bulk.

Its crystal system is trigonal. The density of states at the Fermi level is 0.673 states/eV per atom.

It has space group R3m (No. 160, hexagonal axes), with a = 4.5798 Å, b = 4.5798 Å, c = 16.1807 Å, α = 90.00°, β = 90.00° and γ = 120.00°. The asymmetric unit holds Li at (0.0000, 0.0000, 0.0000), Li at (0.0000, 0.0000, 0.2920), Ac at (0.0000, 0.0000, 0.4884) and Au at (0.0000, 0.0000, 0.6912).


D) First-principles (PBE) data for a relaxed structure of Li2AcAu, as listed in Alexandria via LeMat-Bulk.

Its crystal system is trigonal. The density of states at the Fermi level is 0.885 states/eV per atom.

It has space group R-3m (No. 166, hexagonal axes), with a = 4.4164 Å, b = 4.4164 Å, c = 16.9254 Å, α = 90.00°, β = 90.00° and γ = 120.00°. The asymmetric unit holds Li at (0.0000, 0.0000, 0.2010), Ac at (0.0000, 0.0000, 0.0000) and Au at (0.0000, 0.0000, 0.5000).


Which is most stable, and by how much? C), by 0.110 eV/atom.


A) First-principles (PBE) data for a relaxed structure of Li2AcAu, as listed in Alexandria via LeMat-Bulk.

Its crystal system is tetragonal. The density of states at the Fermi level is 0.506 states/eV per atom.

It has space group P4/mmm (No. 123), with a = 4.375 Å, b = 4.375 Å, c = 5.508 Å, α = 90.00°, β = 90.00° and γ = 90.00°. The asymmetric unit holds Li at (0.000, 0.500, 0.000), Ac at (0.000, 0.000, 0.500) and Au at (0.500, 0.500, 0.500).


B) First-principles (PBE) data for a relaxed structure of Li2AcAu, as listed in Alexandria via LeMat-Bulk.

Its crystal system is orthorhombic. The density of states at the Fermi level is 0.592 states/eV per atom.

It has space group Pmmn (No. 59, origin choice 2), with a = 4.859 Å, b = 5.957 Å, c = 6.701 Å, α = 90.00°, β = 90.00° and γ = 90.00°. The asymmetric unit holds Li at (0.250, 0.016, 0.096), Ac at (0.250, 0.250, 0.581) and Au at (0.250, 0.750, 0.759).


Which is most stable, and by how much? B), by 0.136 eV/atom.


A) First-principles (PBE) data for a relaxed structure of Li3AcAu, as listed in Alexandria via LeMat-Bulk.

Its crystal system is monoclinic. The density of states at the Fermi level is 0.631 states/eV per atom.

It has space group P2_1/m (No. 11), with a = 5.967 Å, b = 5.929 Å, c = 7.453 Å, α = 90.00°, β = 112.20° and γ = 90.00°. The asymmetric unit holds Li at (0.168, 0.250, 0.116), Li at (0.284, 0.515, 0.813), Ac at (0.279, 0.750, 0.363) and Au at (0.140, 0.250, 0.466).


B) First-principles (PBE) data for a relaxed structure of Li3AcAu, as listed in Alexandria via LeMat-Bulk.

Its crystal system is tetragonal. The density of states at the Fermi level is 0.639 states/eV per atom.

It has space group I-4m2 (No. 119), with a = 5.691 Å, b = 5.691 Å, c = 17.671 Å, α = 90.00°, β = 90.00° and γ = 90.00°. The asymmetric unit holds Li at (0.000, 0.000, 0.217), Li at (0.000, 0.260, 0.369), Ac at (0.000, 0.500, 0.561), Au at (0.000, 0.000, 0.500) and Au at (0.000, 0.500, 0.250).


C) First-principles (PBE) data for a relaxed structure of Li3AcAu, as listed in Alexandria via LeMat-Bulk.

Its crystal system is cubic. The density of states at the Fermi level is 0.918 states/eV per atom.

It has space group Pm-3m (No. 221), with a = 4.965 Å, b = 4.965 Å, c = 4.965 Å, α = 90.00°, β = 90.00° and γ = 90.00°. The asymmetric unit holds Li at (0.000, 0.000, 0.500), Ac at (0.500, 0.500, 0.500) and Au at (0.000, 0.000, 0.000).


Which is most stable, and by how much? A), by 0.164 eV/atom.


A) First-principles (PBE) data for a relaxed structure of LiAcAu2, as listed in Alexandria via LeMat-Bulk.

Its crystal system is orthorhombic. The density of states at the Fermi level is 0.418 states/eV per atom.

It has space group Amm2 (No. 38), with a = 4.029 Å, b = 6.942 Å, c = 7.520 Å, α = 90.00°, β = 90.00° and γ = 90.00°. The asymmetric unit holds Li at (0.000, 0.000, 0.000), Ac at (0.500, 0.000, 0.432) and Au at (0.000, 0.212, 0.715).


B) First-principles (PBE) data for a relaxed structure of LiAcAu2, as listed in Alexandria via LeMat-Bulk.

Its crystal system is orthorhombic. The density of states at the Fermi level is 0.530 states/eV per atom.

It has space group Cmcm (No. 63), with a = 7.087 Å, b = 11.238 Å, c = 4.852 Å, α = 90.00°, β = 90.00° and γ = 90.00°. The asymmetric unit holds Li at (0.000, 0.109, 0.250), Ac at (0.000, 0.350, 0.750) and Au at (0.209, 0.088, 0.750).


Which is most stable, and by how much? B), by 0.072 eV/atom.


A) First-principles (PBE) data for a relaxed structure of LiAcAu2, as listed in Alexandria via LeMat-Bulk.

Its crystal system is tetragonal. The density of states at the Fermi level is 0.352 states/eV per atom.

It has space group P4/mmm (No. 123), with a = 5.050 Å, b = 5.050 Å, c = 3.897 Å, α = 90.00°, β = 90.00° and γ = 90.00°. The asymmetric unit holds Li at (0.000, 0.000, 0.000), Ac at (0.500, 0.500, 0.000) and Au at (0.000, 0.500, 0.500).


B) First-principles (PBE) data for a relaxed structure of LiAcAu2, as listed in Alexandria via LeMat-Bulk.

Its crystal system is trigonal. The density of states at the Fermi level is 0.514 states/eV per atom.

It has space group R-3m (No. 166, hexagonal axes), with a = 4.6360 Å, b = 4.6360 Å, c = 15.6054 Å, α = 90.00°, β = 90.00° and γ = 120.00°. The asymmetric unit holds Li at (0.0000, 0.0000, 0.0000), Ac at (0.0000, 0.0000, 0.5000) and Au at (0.0000, 0.0000, 0.2875).


C) First-principles (PBE) data for a relaxed structure of LiAcAu2, as listed in Alexandria via LeMat-Bulk.

Its crystal system is tetragonal. The density of states at the Fermi level is 0.454 states/eV per atom.

It has space group P4/mmm (No. 123), with a = 3.683 Å, b = 3.683 Å, c = 6.919 Å, α = 90.00°, β = 90.00° and γ = 90.00°. The asymmetric unit holds Li at (0.000, 0.000, 0.000), Ac at (0.000, 0.000, 0.500) and Au at (0.500, 0.500, 0.204).


Which is most stable, and by how much? B), by 0.133 eV/atom.


A) First-principles (PBE) data for a relaxed structure of LiAcAu, as listed in Alexandria via LeMat-Bulk.

Its crystal system is tetragonal. The density of states at the Fermi level is 0.713 states/eV per atom.

It has space group I4mm (No. 107), with a = 3.874 Å, b = 3.874 Å, c = 10.338 Å, α = 90.00°, β = 90.00° and γ = 90.00°. The asymmetric unit holds Li at (0.000, 0.000, 0.000), Ac at (0.000, 0.000, 0.292) and Au at (0.000, 0.000, 0.614).


B) First-principles (PBE) data for a relaxed structure of LiAcAu, as listed in Alexandria via LeMat-Bulk.

Its crystal system is hexagonal. The density of states at the Fermi level is 0.709 states/eV per atom.

It has space group P-6m2 (No. 187), with a = 4.6519 Å, b = 4.6519 Å, c = 4.1661 Å, α = 90.00°, β = 90.00° and γ = 120.00°. The asymmetric unit holds Li at (0.0000, 0.0000, 0.0000), Ac at (0.3333, 0.6667, 0.5000) and Au at (0.6667, 0.3333, 0.0000).


Which is most stable, and by how much? B), by 0.120 eV/atom.


A) First-principles (PBE) data for a relaxed structure of Li5Ac2Au3, as listed in Alexandria via LeMat-Bulk.

Its crystal system is orthorhombic. The density of states at the Fermi level is 0.650 states/eV per atom.

It has space group Ibam (No. 72), with a = 11.576 Å, b = 12.550 Å, c = 6.230 Å, α = 90.00°, β = 90.00° and γ = 90.00°. The asymmetric unit holds Li at (0.000, 0.000, 0.250), Li at (0.000, 0.214, 0.250), Li at (0.104, 0.367, 0.000), Ac at (0.229, 0.379, 0.500), Au at (0.000, 0.500, 0.250) and Au at (0.161, 0.124, 0.500).


B) First-principles (PBE) data for a relaxed structure of Li5Ac2Au3, as listed in Alexandria via LeMat-Bulk.

Its crystal system is orthorhombic. The density of states at the Fermi level is 0.573 states/eV per atom.

It has space group Cmc2_1 (No. 36), with a = 4.391 Å, b = 27.796 Å, c = 7.661 Å, α = 90.00°, β = 90.00° and γ = 90.00°. The asymmetric unit holds Li at (0.000, 0.060, 0.000), Li at (0.000, 0.138, 0.370), Li at (0.000, 0.287, 0.080), Li at (0.000, 0.293, 0.714), Li at (0.000, 0.406, 0.225), Ac at (0.000, 0.177, 0.885), Ac at (0.000, 0.471, 0.840), Au at (0.000, 0.041, 0.644), Au at (0.000, 0.238, 0.401) and Au at (0.000, 0.384, 0.585).


Which is most stable, and by how much? A), by 0.006 eV/atom.


A) First-principles (PBE) data for a relaxed structure of Li5Ac2Au4, as listed in Alexandria via LeMat-Bulk.

Its crystal system is monoclinic. The density of states at the Fermi level is 0.595 states/eV per atom.

It has space group C2/m (No. 12), with a = 13.657 Å, b = 5.498 Å, c = 8.387 Å, α = 90.00°, β = 124.59° and γ = 90.00°. The asymmetric unit holds Li at (0.000, 0.000, 0.000), Li at (0.050, 0.255, 0.743), Ac at (0.222, 0.500, 0.274), Au at (0.125, 0.500, 0.541) and Au at (0.213, 0.000, 0.044).


B) First-principles (PBE) data for a relaxed structure of Li5Ac2Au4, as listed in Alexandria via LeMat-Bulk.

Its crystal system is orthorhombic. The density of states at the Fermi level is 0.463 states/eV per atom.

It has space group Fmmm (No. 69), with a = 5.717 Å, b = 9.825 Å, c = 17.066 Å, α = 90.00°, β = 90.00° and γ = 90.00°. The asymmetric unit holds Li at (0.000, 0.000, 0.000), Li at (0.250, 0.250, 0.000), Li at (0.250, 0.250, 0.250), Ac at (0.000, 0.000, 0.359) and Au at (0.000, 0.160, 0.130).


Which is most stable, and by how much? B), by 0.035 eV/atom.